# Ca2AlRh

Ca2AlRh after structural relaxation (GGA-PBE, Alexandria).

The structure in extended XYZ format:
```
8
Lattice="-5.152 5.152 2.387 5.152 -5.152 2.387 5.152 5.152 -2.387" Properties=species:S:1:pos:R:3 pbc="T T T"
Ca 0.895 2.576 0.597
Ca -2.576 4.258 1.790
Ca -0.895 7.729 0.597
Ca 2.576 6.047 1.790
Al 5.152 0.000 1.194
Al 0.000 0.000 2.387
Rh 0.000 0.000 0.000
Rh 0.000 5.152 1.194
```

Crystal system: tetragonal
Symmetry: No. 122
ΔH_f (0 K): -246.6 meV per atom

=====

# CaAl2Rh

CaAl2Rh after structural relaxation (GGA-PBE, Alexandria).

The structure in extended XYZ format:
```
4
Lattice="0.000 3.248 3.248 3.248 0.000 3.248 3.248 3.248 0.000" Properties=species:S:1:pos:R:3 pbc="T T T"
Ca 0.000 0.000 0.000
Al 1.624 1.624 1.624
Al 4.873 4.873 4.873
Rh 3.248 3.248 3.248
```

Crystal system: cubic
Symmetry: No. 225
ΔH_f (0 K): -426.6 meV per atom

=====

# Ca2Al7Rh

Ca2Al7Rh after structural relaxation (GGA-PBE, Alexandria).

The structure in extended XYZ format:
```
10
Lattice="4.152 0.000 0.000 0.000 4.152 0.000 0.000 0.000 11.594" Properties=species:S:1:pos:R:3 pbc="T T T"
Ca 0.000 2.076 2.790
Ca 2.076 0.000 8.804
Al 0.000 0.000 0.000
Al 0.000 0.000 5.797
Al 0.000 2.076 7.473
Al 0.000 2.076 10.085
Al 2.076 0.000 1.509
Al 2.076 0.000 4.121
Al 2.076 2.076 5.797
Rh 2.076 2.076 0.000
```

Crystal system: tetragonal
Symmetry: No. 115
ΔH_f (0 K): -339.4 meV per atom

=====

# CaAl2Rh

CaAl2Rh after structural relaxation (GGA-PBE, Alexandria).

The structure in extended XYZ format:
```
4
Lattice="4.002 0.000 0.000 0.000 4.061 0.000 0.000 0.000 4.464" Properties=species:S:1:pos:R:3 pbc="T T T"
Ca 0.000 0.000 0.000
Al 0.000 2.030 2.232
Al 2.001 0.000 2.232
Rh 2.001 2.030 0.000
```

Crystal system: orthorhombic
Symmetry: No. 47
ΔH_f (0 K): -272.1 meV per atom

=====

# Ca2AlRh

Ca2AlRh after structural relaxation (GGA-PBE, Alexandria).

The structure in extended XYZ format:
```
4
Lattice="4.214 0.000 0.000 0.000 2.195 5.513 0.000 -2.195 5.513" Properties=species:S:1:pos:R:3 pbc="T T T"
Ca 0.000 0.000 0.000
Ca 2.107 0.000 3.162
Al 2.107 0.000 6.488
Rh 0.000 0.000 7.703
```

Crystal system: orthorhombic
Symmetry: No. 38
ΔH_f (0 K): -432.2 meV per atom

=====

# Ca2AlRh

Ca2AlRh after structural relaxation (GGA-PBE, Alexandria).

The structure in extended XYZ format:
```
4
Lattice="3.673 -2.110 0.000 3.673 2.110 0.000 -2.422 0.000 7.368" Properties=species:S:1:pos:R:3 pbc="T T T"
Ca 0.000 0.000 0.000
Ca 0.001 0.000 3.984
Al 4.902 0.000 1.997
Rh 2.457 0.000 1.974
```

Crystal system: monoclinic
Symmetry: No. 8
ΔH_f (0 K): -479.1 meV per atom

=====

# CaAlRh2

CaAlRh2 after structural relaxation (GGA-PBE, Alexandria).

The structure in extended XYZ format:
```
4
Lattice="-1.543 2.217 4.918 1.543 -2.217 4.918 1.543 2.217 -4.918" Properties=species:S:1:pos:R:3 pbc="T T T"
Ca 0.000 0.000 0.000
Al 0.000 2.217 2.167
Rh 1.543 0.000 2.621
Rh 0.000 0.000 5.021
```

Crystal system: orthorhombic
Symmetry: No. 44
ΔH_f (0 K): -447.7 meV per atom

=====

# CaAl2Rh

CaAl2Rh after structural relaxation (GGA-PBE, Alexandria).

The structure in extended XYZ format:
```
4
Lattice="2.153 1.243 5.334 -2.153 1.243 5.334 0.000 -2.486 5.334" Properties=species:S:1:pos:R:3 pbc="T T T"
Ca 0.000 0.000 0.000
Al 0.000 0.000 8.568
Al 0.000 0.000 12.847
Rh 0.000 0.000 2.953
```

Crystal system: trigonal
Symmetry: No. 160
ΔH_f (0 K): -618.9 meV per atom

=====

Number 1: size of the total moment 0.00 μB/atom, energy -4.021 eV per atom. Number 2: size of the total moment 0.00 μB/atom, energy -4.636 eV per atom. Number 3: size of the total moment 0.00 μB/atom, energy -4.095 eV per atom. Number 4: size of the total moment 0.00 μB/atom, energy -4.482 eV per atom. Number 5: size of the total moment 0.00 μB/atom, energy -4.206 eV per atom. Number 6: size of the total moment 0.00 μB/atom, energy -4.253 eV per atom. Number 7: size of the total moment 0.00 μB/atom, energy -5.559 eV per atom. Number 8: size of the total moment 0.00 μB/atom, energy -4.828 eV per atom.